# 1
This record from the Alexandria database describes a relaxed structure of Sc3ReOs. The functional is GGA-PBE.

a = 4.9098 Å, b = 4.9098 Å, c = 4.9098 Å
α = 90.00°, β = 90.00°, γ = 90.00°
Closest atoms and distances in Å follow each position.
Sites, in units of the cell vectors:
Sc1 0.0000 0.0000 0.5000  2 Os 2.45
Sc2 0.0000 0.5000 0.0000  2 Os 2.45
Sc3 0.5000 0.0000 0.0000  2 Os 2.45
Re1 0.5000 0.5000 0.5000  12 Sc 3.47
Os1 0.0000 0.0000 0.0000  6 Sc 2.45

Computed properties:
E_tot, eV for the cell shown: -38.9
Total moment, μB per cell: 2.21
Formation energy, kJ/mol of formula units: 368.3
Symmetry: Pm-3m, No. 221

***

# 2
This record from the Alexandria database describes a relaxed structure of SbMo2HN. The functional is GGA-PBE.

a = 3.7808 Å, b = 3.7808 Å, c = 4.7862 Å
α = 90.00°, β = 90.00°, γ = 90.00°
Closest atoms and distances in Å follow each position.
Sites, in units of the cell vectors:
Sb1 0.0000 0.0000 0.0000  2 H 2.39, 4 N 2.67
Mo1 0.0000 0.5000 0.5000  2 H 1.89
Mo2 0.5000 0.0000 0.5000  2 H 1.89
H1 0.0000 0.0000 0.5000  4 Mo 1.89
N1 0.5000 0.5000 0.0000  4 Sb 2.67

Computed properties:
E_tot, eV for the cell shown: -30.9
Total moment, μB per cell: 0.00
Symmetry: P4/mmm, No. 123

***

# 3
This record from the Alexandria database describes a relaxed structure of BaNiRh2. The functional is GGA-PBE.

a = 5.1970 Å, b = 5.1970 Å, c = 5.1970 Å
α = 136.54°, β = 123.42°, γ = 73.94°
Closest atoms and distances in Å follow each position.
Sites, in units of the cell vectors:
Ba1 0.0000 0.0000 0.0000  8 Rh 3.03-3.13, 4 Ni 3.04-3.05
Ni1 0.2852 0.7852 0.5000  2 Rh 2.52
Rh1 0.4803 0.4803 0.0000  2 Ni 2.52, 2 Rh 2.73
Rh2 0.7129 0.2129 0.5000  2 Rh 2.73, 2 Ba 3.03

Computed properties:
E_tot, eV for the cell shown: -20.3
Total moment, μB per cell: 1.26
Formation energy, kJ/mol of formula units: 201.4
Symmetry: Imm2, No. 44

***

# 4
This record from the Alexandria database describes a relaxed structure of BaPmAu2. The functional is GGA-PBE.

a = 5.4500 Å, b = 5.4500 Å, c = 5.4500 Å
α = 60.00°, β = 60.00°, γ = 60.00°
Closest atoms and distances in Å follow each position.
Sites, in units of the cell vectors:
Ba1 0.0000 0.0000 0.0000  8 Au 3.34
Pm1 0.5000 0.5000 0.5000  8 Au 3.34
Au1 0.2500 0.2500 0.2500  4 Ba 3.34, 4 Pm 3.34
Au2 0.7500 0.7500 0.7500  4 Ba 3.34, 4 Pm 3.34

Computed properties:
E_tot, eV for the cell shown: -15.6
Total moment, μB per cell: 0.00
Formation energy, kJ/mol of formula units: -229.2
Symmetry: Fm-3m, No. 225

***

# 5
This record from the Alexandria database describes a relaxed structure of CrHSe2. The functional is GGA-PBE.

a = 6.9573 Å, b = 6.9573 Å, c = 6.6004 Å
α = 106.66°, β = 106.66°, γ = 31.31°
Closest atoms and distances in Å follow each position.
Sites, in units of the cell vectors:
Cr1 0.2467 0.2467 0.2699  6 Se 2.48-2.63
Cr2 0.7533 0.7533 0.7301  6 Se 2.48-2.63
H1 0.0378 0.0378 0.7717  1 Se 1.50
H2 0.9622 0.9622 0.2283  1 Se 1.50
Se1 0.1546 0.1546 0.8580  1 H 1.50
Se2 0.3590 0.3590 0.6438  3 Cr 2.48-2.52
Se3 0.6410 0.6410 0.3562  3 Cr 2.48-2.52
Se4 0.8454 0.8454 0.1420  1 H 1.50

Computed properties:
E_tot, eV for the cell shown: -42.4
Total moment, μB per cell: 6.00
Symmetry: C2/m, No. 12

***

# 6
This record from the Alexandria database describes a relaxed structure of BeIrPb2. The functional is GGA-PBE.

a = 5.4013 Å, b = 5.4013 Å, c = 5.4013 Å
α = 133.75°, β = 133.75°, γ = 67.47°
Closest atoms and distances in Å follow each position.
Sites, in units of the cell vectors:
Be1 0.0000 0.0000 0.0000  8 Pb 3.00-3.09, 4 Ir 3.09
Ir1 0.2500 0.7500 0.5000  8 Pb 3.00-3.09, 4 Be 3.09
Pb1 0.5000 0.5000 0.0000  4 Be 3.00, 4 Pb 3.09, 4 Ir 3.09
Pb2 0.7500 0.2500 0.5000  4 Ir 3.00, 4 Pb 3.09, 4 Be 3.09

Computed properties:
E_tot, eV for the cell shown: -17.1
Total moment, μB per cell: 0.00
Formation energy, kJ/mol of formula units: 281.7
Symmetry: I-4m2, No. 119

***

# 7
This record from the Alexandria database describes a relaxed structure of Mg2In2Sb. The functional is GGA-PBE.

a = 8.8020 Å, b = 8.8020 Å, c = 3.2229 Å
α = 90.00°, β = 90.00°, γ = 90.00°
Closest atoms and distances in Å follow each position.
Sites, in units of the cell vectors:
Mg1 0.1767 0.3233 0.0000  6 In 2.96-3.13, 2 Mg 3.22
Mg2 0.3233 0.8233 0.0000  6 In 2.96-3.13, 2 Mg 3.22
Mg3 0.6767 0.1767 0.0000  6 In 2.96-3.13, 2 Mg 3.22
Mg4 0.8233 0.6767 0.0000  6 In 2.96-3.13, 2 Mg 3.22
In1 0.1238 0.6238 0.5000  6 Mg 2.96-3.13, 3 In 3.08-3.22
In2 0.3762 0.1238 0.5000  6 Mg 2.96-3.13, 3 In 3.08-3.22
In3 0.6238 0.8762 0.5000  6 Mg 2.96-3.13, 3 In 3.08-3.22
In4 0.8762 0.3762 0.5000  6 Mg 2.96-3.13, 3 In 3.08-3.22
Sb1 0.0000 0.0000 0.5000  2 Sb 3.22, 4 In 3.49
Sb2 0.5000 0.5000 0.5000  2 Sb 3.22, 4 In 3.49

Computed properties:
E_tot, eV for the cell shown: -25.6
Uncorrected formation energy, eV/atom: -0.01
Total moment, μB per cell: 0.00
Symmetry: P4/mbm, No. 127

***

E_tot of number 4 (BaPmAu2)?
-15.6 eV for the cell shown

***

What is the formula in the sixth record?
BeIrPb2